Entry 1:
Here is MgAgAu4 after structural relaxation from Alexandria. Energies are from GGA-PBE.

Structure (POSCAR):
```
MgAgAu4
1.0
0.000 3.894 3.894
3.894 0.000 3.894
3.894 3.894 0.000
Ag Au Mg
1 4 1
direct
0.000 0.000 0.000
0.375 0.375 0.375
0.375 0.875 0.375
0.875 0.375 0.375
0.375 0.375 0.875
0.750 0.750 0.750
```

Calculated values
The energy above the most stable polymorph in this dataset comes out at 0.1184 eV/atom. The energy is -3.067 eV/atom. Its energy relative to the elements is -0.85 eV per formula unit. Its space group is F-43m, No. 216. As for the total magnetic moment: 0.00 μB/cell. As for the density: 12.94 g/cm³.

---

Entry 2:
Here is Dy4PS2N after structural relaxation from Alexandria. Energies are from GGA-PBE.

Structure (POSCAR):
```
Dy4PS2N
1.0
3.802 0.000 0.000
0.000 6.614 0.125
0.000 -2.304 6.320
S Dy N P
2 4 1 1
direct
0.500 0.000 0.500
0.000 0.500 0.500
0.500 0.264 0.227
0.000 0.722 0.218
0.000 0.278 0.782
0.500 0.736 0.773
0.500 0.500 0.000
0.000 0.000 0.000
```

Calculated values
The energy is -6.854 eV/atom. The uncorrected formation energy is -14.43 eV/f.u. Its space group is P2/m, No. 10. As for the total magnetic moment: 0.00 μB/cell. As for the density: 7.88 g/cm³.

---

Entry 3:
Here is AlTc3N after structural relaxation from Alexandria. Energies are from GGA-PBE.

Structure (POSCAR):
```
AlTc3N
1.0
-2.426 1.399 2.919
2.785 -0.956 2.773
1.649 3.673 -0.390
Tc Al N
3 1 1
direct
0.000 0.500 0.000
0.500 0.000 0.000
0.000 0.000 0.500
0.500 0.500 0.500
0.000 0.000 0.000
```

Calculated values
The energy above the most stable polymorph in this dataset comes out at 0.0000 eV/atom. The energy is -8.765 eV/atom. The uncorrected formation energy is -0.66 eV/f.u. Its space group is Pm-3m, No. 221. As for the total magnetic moment: 0.00 μB/cell. As for the density: 8.40 g/cm³.

---

> What is the energy in the second record?

-6.854 eV/atom